The following is a DFT calculation (GGA-PBE) of a geometry-optimized Y2CrPb structure. Values from VASP.

Values from the calculation:
SG = R-3m, No. 166
DFT total energy = -25.64 eV/cell
D(E_F) = 3.500 states/eV per cell
Size of the total moment = 3.389 Bohr magnetons per cell

Quantum ESPRESSO input file:
```
&SYSTEM
  ibrav = 0, nat = 4, ntyp = 3
/
ATOMIC_SPECIES
Cr 52.00 Cr.upf
Pb 207.20 Pb.upf
Y 88.91 Y.upf
CELL_PARAMETERS angstrom
-0.828 9.059 3.631
-4.207 8.478 2.521
-3.140 7.282 5.749
ATOMIC_POSITIONS crystal
Cr 0.750 0.750 0.750
Pb 0.250 0.250 0.250
Y 0.008 0.008 0.008
Y 0.492 0.492 0.492
```

***

The following is a DFT calculation (GGA-PBE) of a geometry-optimized KNaPbO3 structure. Values from VASP.

Values from the calculation:
Uncorrected formation energy = -1260.1 meV per atom
SG = C2/c, No. 15
Size of the total moment = 0.149 Bohr magnetons per cell

Quantum ESPRESSO input file:
```
&SYSTEM
  ibrav = 0, nat = 12, ntyp = 4
/
ATOMIC_SPECIES
K 39.10 K.upf
Na 22.99 Na.upf
Pb 207.20 Pb.upf
O 16.00 O.upf
CELL_PARAMETERS angstrom
-1.681 5.572 -1.082
-0.671 -0.076 -5.970
-6.072 -1.639 -2.320
ATOMIC_POSITIONS crystal
K 0.250 0.253 0.494
K 0.750 0.747 0.506
Na 0.250 0.574 0.852
Na 0.750 0.426 0.148
Pb 0.750 0.064 0.872
Pb 0.250 0.936 0.128
O 0.494 0.811 0.921
O 0.006 0.268 0.921
O 0.750 0.235 0.529
O 0.506 0.189 0.079
O 0.994 0.732 0.079
O 0.250 0.765 0.471
```

***

The following is a DFT calculation (GGA-PBE) of a geometry-optimized Li2LaSi structure. Values from VASP.

Values from the calculation:
Uncorrected formation energy = -172.9 meV per atom
SG = Cmmm, No. 65
D(E_F) = 2.877 states/eV per cell
Size of the total moment = 0.000 Bohr magnetons per cell

Quantum ESPRESSO input file:
```
&SYSTEM
  ibrav = 0, nat = 4, ntyp = 3
/
ATOMIC_SPECIES
La 138.91 La.upf
Li 6.94 Li.upf
Si 28.09 Si.upf
CELL_PARAMETERS angstrom
-3.647 2.890 1.526
-0.880 -2.816 3.230
2.697 1.876 2.892
ATOMIC_POSITIONS crystal
La 0.500 0.750 0.750
Li 0.000 0.066 0.066
Li 0.000 0.434 0.434
Si 0.500 0.250 0.250
```

***

The following is a DFT calculation (GGA-PBE) of a geometry-optimized KCd2Ag4 structure. Values from VASP.

Values from the calculation:
SG = I4/mmm, No. 139
D(E_F) = 2.840 states/eV per cell
Energy relative to the lowest polymorph listed for this composition = 255 meV/atom
Size of the total moment = 0.000 Bohr magnetons per cell

Quantum ESPRESSO input file:
```
&SYSTEM
  ibrav = 0, nat = 7, ntyp = 3
/
ATOMIC_SPECIES
K 39.10 K.upf
Cd 112.41 Cd.upf
Ag 107.87 Ag.upf
CELL_PARAMETERS angstrom
6.698 -0.660 0.000
-3.308 5.862 0.000
-1.695 -2.601 5.972
ATOMIC_POSITIONS crystal
K 0.000 0.000 0.000
Cd 0.250 0.750 0.500
Cd 0.750 0.250 0.500
Ag 0.727 0.500 0.227
Ag 0.500 0.727 0.227
Ag 0.500 0.273 0.773
Ag 0.273 0.500 0.773
```

***

The following is a DFT calculation (GGA-PBE) of a geometry-optimized LiIn3Cl structure. Values from VASP.

Values from the calculation:
Uncorrected formation energy = -109.8 meV per atom
SG = Pm-3m, No. 221
D(E_F) = 2.321 states/eV per cell
Energy relative to the lowest polymorph listed for this composition = 0 meV/atom
Size of the total moment = 0.000 Bohr magnetons per cell

Quantum ESPRESSO input file:
```
&SYSTEM
  ibrav = 0, nat = 5, ntyp = 3
/
ATOMIC_SPECIES
Cl 35.45 Cl.upf
Li 6.94 Li.upf
In 114.82 In.upf
CELL_PARAMETERS angstrom
-4.806 -1.476 -1.087
0.591 -4.136 3.002
-1.735 2.680 4.034
ATOMIC_POSITIONS crystal
Cl 0.500 0.500 0.500
Li 0.000 0.000 0.000
In 0.000 0.500 0.000
In 0.000 0.000 0.500
In 0.500 0.000 0.000
```

***

The following is a DFT calculation (GGA-PBE) of a geometry-optimized NaSr2CuH6 structure. Values from VASP.

Values from the calculation:
SG = P-3m1, No. 164
DFT total energy = -31.35 eV/cell
D(E_F) = 0.431 states/eV per cell
Size of the total moment = 0.000 Bohr magnetons per cell

Quantum ESPRESSO input file:
```
&SYSTEM
  ibrav = 0, nat = 10, ntyp = 4
/
ATOMIC_SPECIES
Na 22.99 Na.upf
Sr 87.62 Sr.upf
Cu 63.55 Cu.upf
H 1.01 H.upf
CELL_PARAMETERS angstrom
-4.237 2.710 -1.575
-3.218 -3.807 2.107
1.562 4.203 3.031
ATOMIC_POSITIONS crystal
Na 0.500 0.000 0.000
Sr 0.173 0.333 0.667
Sr 0.827 0.667 0.333
Cu 0.000 0.000 0.000
H 0.803 0.164 0.329
H 0.803 0.164 0.836
H 0.803 0.671 0.836
H 0.197 0.836 0.164
H 0.197 0.329 0.164
H 0.197 0.836 0.671
```